## LiYHf (PBE)

Data for a geometry-optimized LiYHf structure.

Computed properties:
- Crystal system: hexagonal
- Energy above the most stable polymorph in this dataset: 0.469 eV/atom
- Spin magnetization: 0.00 μB per formula unit
- Energy of formation from the pure elements: 0.5678 eV/atom

abc: 5.3172 5.3172 2.9705
angles: 90.00 90.00 120.00
Closest atoms and distances in Å follow each position.
Atoms (fractional coordinates):
Li (0.6667, 0.3333, 0.5000)  2 Li 2.97
Hf (0.3333, 0.6667, 0.0000)  2 Hf 2.97, 3 Y 3.07
Y (0.0000, 0.0000, 0.0000)  2 Y 2.97, 3 Hf 3.07